BaSe3: relaxed, PBE.

The space group is Cmmm (No. 65) and the conventional cell measures 6.524, 7.654 and 4.309 Å, with angles of 90.00, 90.00 and 90.00 degrees. The asymmetric unit holds Ba at (0.000, 0.000, 0.000), Se at (0.000, 0.500, 0.000) and Se at (0.250, 0.250, 0.500).

For the formation energy (no corrections), the calculation gives -2.6 eV/f.u.


BaSe2: relaxed, PBE.

The space group is Cmcm (No. 63) and the conventional cell measures 4.452, 17.676 and 4.930 Å, with angles of 90.00, 90.00 and 90.00 degrees. The asymmetric unit holds Ba at (0.000, 0.115, 0.250), Se at (0.000, 0.248, 0.750) and Se at (0.000, 0.476, 0.250).

For the formation energy (no corrections), the calculation gives -3.7 eV/f.u.


BaSe4: relaxed, PBE.

The space group is Pm-3m (No. 221) and the conventional cell measures 6.345, 6.345 and 6.345 Å, with angles of 90.00, 90.00 and 90.00 degrees. The asymmetric unit holds Ba at (0.000, 0.000, 0.000), Se at (0.000, 0.000, 0.500) and Se at (0.500, 0.500, 0.500).

For the formation energy (no corrections), the calculation gives 2.7 eV/f.u.


BaSe3: relaxed, PBE.

The space group is Fm-3m (No. 225) and the conventional cell measures 7.620, 7.620 and 7.620 Å, with angles of 90.00, 90.00 and 90.00 degrees. The asymmetric unit holds Ba at (0.000, 0.000, 0.000), Se at (0.000, 0.000, 0.500) and Se at (0.250, 0.250, 0.250).

For the formation energy (no corrections), the calculation gives -1.8 eV/f.u.


What did the first record say?
BaSe3: relaxed, PBE.

The space group is Cmmm (No. 65) and the conventional cell measures 6.524, 7.654 and 4.309 Å, with angles of 90.00, 90.00 and 90.00 degrees. The asymmetric unit holds Ba at (0.000, 0.000, 0.000), Se at (0.000, 0.500, 0.000) and Se at (0.250, 0.250, 0.500).

For the formation energy (no corrections), the calculation gives -2.6 eV/f.u.